Computed, not measured: a geometry-optimized VAgPbO5 structure at the GGA+U level of DFT.

Calculated values
- Crystal system: monoclinic
- Uncorrected energy: -5.965 eV per atom

a b c (Å): 7.689 9.276 7.698
angles (deg): 90.00 114.76 90.00
Space group C2/c (No. 15)
One atom of each set of equivalent atoms:
V: 0.000 0.163 0.250
Ag: 0.000 0.168 0.750
Pb: 0.000 0.500 0.000
O: 0.000 0.406 0.750
O: 0.078 0.274 0.115
O: 0.187 0.051 0.401